# 1
This record from Alexandria via LeMat-Bulk describes ErFeC2 after structural relaxation. The functional is GGA-PBE.

abc: 3.7267 3.7267 3.5545
angles: 90.00 90.00 105.03
Last column: nearest neighbours and their distance in Å.
Fractional positions:
Er (0.0043, 0.9957, 0.0000)  8 C 2.59-2.66
C (0.1437, 0.5465, 0.5000)  1 C 1.41
C (0.4535, 0.8563, 0.5000)  1 C 1.41
Fe (0.6136, 0.3864, 0.5000)  4 C 1.91-1.99

Theoretical density   8.61 Mg/m³
Calculated formation energy   -0.2807 eV per atom
DOS(E_F)   2.04 states/eV/cell
Space-group type   Amm2 (38)


# 2
This record from Alexandria via LeMat-Bulk describes Er12Fe5C15 after structural relaxation. The functional is GGA-PBE.

abc: 4.9911 10.3529 10.3529
angles: 120.00 90.00 90.00
Last column: nearest neighbours and their distance in Å.
Fractional positions:
C (0.5000, 0.1911, 0.7173)  1 Fe 1.79
C (0.5000, 0.5262, 0.8089)  1 Fe 1.79
C (0.5000, 0.7173, 0.1911)  1 Fe 1.79
C (0.5000, 0.2827, 0.4738)  1 Fe 1.79
C (0.0000, 0.4557, 0.0000)  1 C 1.34
C (0.5000, 0.4738, 0.2827)  1 Fe 1.79
C (0.0000, 0.3258, 0.0000)  1 C 1.34
C (0.0000, 0.0000, 0.3258)  1 C 1.34
C (0.0000, 0.0000, 0.8009)  2 Fe 1.88
C (0.0000, 0.1991, 0.1991)  2 Fe 1.88
C (0.5000, 0.8089, 0.5262)  1 Fe 1.79
C (0.0000, 0.0000, 0.4557)  1 C 1.34
C (0.0000, 0.5443, 0.5443)  1 C 1.34
C (0.0000, 0.6742, 0.6742)  1 C 1.34
C (0.0000, 0.8009, 0.0000)  2 Fe 1.88
Er (0.5000, 0.4353, 0.0000)  8 C 2.50-2.75
Er (0.5000, 0.0000, 0.4353)  8 C 2.50-2.75
Er (0.0000, 0.7303, 0.1844)  5 C 2.36-2.51
Er (0.0000, 0.4541, 0.2697)  5 C 2.36-2.51
Er (0.5000, 0.0000, 0.7926)  4 C 2.46-2.50
Er (0.5000, 0.2074, 0.2074)  4 C 2.46-2.50
Er (0.0000, 0.5459, 0.8156)  5 C 2.36-2.51
Er (0.0000, 0.2697, 0.4541)  5 C 2.36-2.51
Er (0.5000, 0.7926, 0.0000)  4 C 2.46-2.50
Er (0.5000, 0.5647, 0.5647)  8 C 2.50-2.75
Er (0.0000, 0.8156, 0.5459)  5 C 2.36-2.51
Er (0.0000, 0.1844, 0.7303)  5 C 2.36-2.51
Fe (0.5000, 0.3333, 0.6667)  3 C 1.79
Fe (0.5000, 0.6667, 0.3333)  3 C 1.79
Fe (0.0000, 0.8435, 0.8435)  3 C 1.75-1.88
Fe (0.0000, 0.1565, 0.0000)  3 C 1.75-1.88
Fe (0.0000, 0.0000, 0.1565)  3 C 1.75-1.88

Theoretical density   8.84 Mg/m³
Calculated formation energy   -0.3535 eV per atom
DOS(E_F)   14.82 states/eV/cell
Space-group type   P-62m (189)


# 3
This record from Alexandria via LeMat-Bulk describes ErFe12C4 after structural relaxation. The functional is GGA-PBE.

abc: 6.2496 6.2496 6.2496
angles: 109.47 109.47 109.47
Last column: nearest neighbours and their distance in Å.
Fractional positions:
Fe (0.8151, 0.6671, 0.4822)  2 C 1.96
Fe (0.4822, 0.8151, 0.6671)  2 C 1.96
Fe (0.1849, 0.6671, 0.8520)  2 C 1.96
Fe (0.1480, 0.8151, 0.3329)  2 C 1.96
Fe (0.8151, 0.3329, 0.1480)  2 C 1.96
Fe (0.6671, 0.4822, 0.8151)  2 C 1.96
Fe (0.1849, 0.3329, 0.5178)  2 C 1.96
Fe (0.5178, 0.1849, 0.3329)  2 C 1.96
Fe (0.3329, 0.1480, 0.8151)  2 C 1.96
Fe (0.3329, 0.5178, 0.1849)  2 C 1.96
Fe (0.6671, 0.8520, 0.1849)  2 C 1.96
Fe (0.8520, 0.1849, 0.6671)  2 C 1.96
C (0.5000, 0.0000, 0.0000)  6 Fe 1.96
C (0.0000, 0.0000, 0.5000)  6 Fe 1.96
C (0.5000, 0.5000, 0.5000)  6 Fe 1.96
C (0.0000, 0.5000, 0.0000)  6 Fe 1.96
Er (0.0000, 0.0000, 0.0000)  12 Fe 2.75

Theoretical density   7.82 Mg/m³
Calculated formation energy   0.1344 eV per atom
DOS(E_F)   8.27 states/eV/cell
Space-group type   Im-3 (204)


# 4
This record from Alexandria via LeMat-Bulk describes ErFeC2 after structural relaxation. The functional is GGA-PBE.

abc: 3.3478 3.3478 4.8543
angles: 69.83 69.83 60.00
Last column: nearest neighbours and their distance in Å.
Fractional positions:
Er (0.5000, 0.5000, 0.5000)  6 C 2.47
C (0.2812, 0.2812, 0.1563)  3 Fe 2.05
C (0.7188, 0.7188, 0.8437)  3 Fe 2.05
Fe (0.0000, 0.0000, 0.0000)  6 C 2.05

Theoretical density   9.49 Mg/m³
Calculated formation energy   0.2410 eV per atom
DOS(E_F)   3.52 states/eV/cell
Space-group type   R-3m (166)


# 5
This record from Alexandria via LeMat-Bulk describes ErFeC after structural relaxation. The functional is GGA-PBE.

abc: 3.2534 5.0003 5.6260
angles: 69.83 73.19 71.02
Last column: nearest neighbours and their distance in Å.
Fractional positions:
C (0.3131, 0.6300, 0.7437)  3 Fe 1.91-2.05
C (0.6869, 0.3700, 0.2563)  3 Fe 1.91-2.05
Er (0.0702, 0.1921, 0.6675)  5 C 2.57-2.75, 2 Fe 2.88
Er (0.9298, 0.8079, 0.3325)  5 C 2.57-2.75, 2 Fe 2.88
Fe (0.2997, 0.3103, 0.0904)  3 C 1.91-2.05
Fe (0.7003, 0.6897, 0.9096)  3 C 1.91-2.05

Theoretical density   9.81 Mg/m³
Calculated formation energy   -0.1623 eV per atom
DOS(E_F)   4.26 states/eV/cell
Space-group type   C2/m (12)


# 6
This record from Alexandria via LeMat-Bulk describes Er2Fe5C4 after structural relaxation. The functional is GGA-PBE.

abc: 4.9565 5.2187 5.7011
angles: 78.09 64.23 61.65
Last column: nearest neighbours and their distance in Å.
Fractional positions:
Fe (0.5000, 0.5000, 0.0000)  4 C 2.01
Fe (0.2500, 0.5000, 0.5000)  4 C 1.92
Fe (0.7500, 0.5000, 0.5000)  4 C 1.92
Fe (0.0000, 0.5000, 0.0000)  4 C 2.01
Fe (0.5000, 0.0000, 0.0000)  4 C 1.99
C (0.7914, 0.6801, 0.7371)  5 Fe 1.92-2.01
C (0.4715, 0.3199, 0.7371)  5 Fe 1.92-2.01
C (0.2086, 0.3199, 0.2629)  5 Fe 1.92-2.01
C (0.5285, 0.6801, 0.2629)  5 Fe 1.92-2.01
Er (0.8534, 0.0000, 0.2932)  6 C 2.71-2.89, 10 Fe 2.82-3.01, 1 Er 3.01
Er (0.1466, 0.0000, 0.7068)  6 C 2.71-2.89, 10 Fe 2.82-3.01, 1 Er 3.01

Theoretical density   9.40 Mg/m³
Calculated formation energy   -0.2048 eV per atom
DOS(E_F)   4.00 states/eV/cell
Space-group type   Fmmm (69)


# 7
This record from Alexandria via LeMat-Bulk describes ErFe12C6 after structural relaxation. The functional is GGA-PBE.

abc: 5.8293 5.8293 5.8293
angles: 103.30 103.30 103.30
Last column: nearest neighbours and their distance in Å.
Fractional positions:
Fe (0.5000, 0.1349, 0.8651)  4 C 1.99-2.02
Fe (0.8651, 0.5000, 0.1349)  4 C 1.99-2.02
Fe (0.5000, 0.8651, 0.1349)  4 C 1.99-2.02
Fe (0.1869, 0.4566, 0.4566)  3 C 2.03-2.10
Fe (0.4566, 0.4566, 0.1869)  3 C 2.03-2.10
Fe (0.1349, 0.5000, 0.8651)  4 C 1.99-2.02
Fe (0.5434, 0.8131, 0.5434)  3 C 2.03-2.10
Fe (0.8651, 0.1349, 0.5000)  4 C 1.99-2.02
Fe (0.5434, 0.5434, 0.8131)  3 C 2.03-2.10
Fe (0.1349, 0.8651, 0.5000)  4 C 1.99-2.02
Fe (0.4566, 0.1869, 0.4566)  3 C 2.03-2.10
Fe (0.8131, 0.5434, 0.5434)  3 C 2.03-2.10
C (0.3302, 0.7693, 0.7693)  7 Fe 1.99-2.10
C (0.2307, 0.6698, 0.2307)  7 Fe 1.99-2.10
C (0.7693, 0.7693, 0.3302)  7 Fe 1.99-2.10
C (0.2307, 0.2307, 0.6698)  7 Fe 1.99-2.10
C (0.7693, 0.3302, 0.7693)  7 Fe 1.99-2.10
C (0.6698, 0.2307, 0.2307)  7 Fe 1.99-2.10
Er (0.0000, 0.0000, 0.0000)  6 C 2.98, 18 Fe 3.07-3.16

Theoretical density   8.44 Mg/m³
Calculated formation energy   0.0211 eV per atom
DOS(E_F)   14.56 states/eV/cell
Space-group type   R-3m (166)


# 8
This record from Alexandria via LeMat-Bulk describes Er2FeC2 after structural relaxation. The functional is GGA-PBE.

abc: 4.9711 5.9387 6.6097
angles: 118.06 90.00 114.74
Last column: nearest neighbours and their distance in Å.
Fractional positions:
Er (0.3181, 0.6363, 0.3890)  5 C 2.42-2.64
Er (0.6819, 0.3637, 0.6110)  5 C 2.42-2.64
Er (0.0406, 0.0812, 0.7819)  4 C 2.36-2.51
Er (0.9594, 0.9188, 0.2181)  4 C 2.36-2.51
Fe (0.3706, 0.7412, 0.8694)  3 C 1.86-1.89
Fe (0.6294, 0.2588, 0.1306)  3 C 1.86-1.89
C (0.8168, 0.6335, 0.3931)  1 Fe 1.86
C (0.1832, 0.3665, 0.6069)  1 Fe 1.86
C (0.5160, 0.0321, 0.7971)  2 Fe 1.86-1.89
C (0.4840, 0.9679, 0.2029)  2 Fe 1.86-1.89

Theoretical density   9.08 Mg/m³
Calculated formation energy   -0.3123 eV per atom
DOS(E_F)   5.51 states/eV/cell
Space-group type   C2/m (12)